The following is a DFT calculation (PBE) of a relaxed GaCu6Au12 crystal.

The formation energy comes out at -0.02 eV per atom. The calculation puts the total energy at -3.546 eV per atom. The calculation puts the calculated volume at 309 Å³/f.u.

The structure in CIF format:
```
data_GaCu6Au12
_cell_length_a 12.3806
_cell_length_b 12.3806
_cell_length_c 6.9824
_cell_angle_alpha 90.00
_cell_angle_beta 90.00
_cell_angle_gamma 120.00
_space_group_name_H-M_alt 'R -3'
_space_group_IT_number 148
_space_group_name_Hall '-R 3'
loop_
_atom_site_label
_atom_site_fract_x
_atom_site_fract_y
_atom_site_fract_z
Ga1 0.0000 0.0000 0.0000
Cu1 0.0332 0.7502 0.3310
Au1 0.0057 0.8664 0.6632
Au2 0.0646 0.5066 0.6709
```

=====

The following is a DFT calculation (PBE) of a relaxed PmNiPt crystal.

The formation energy comes out at -0.33 eV per atom. The calculation puts the total energy at -5.849 eV per atom. Its energy above the most stable polymorph in this dataset is 446 meV/atom. The calculation puts the calculated volume at 68 Å³/f.u.

The structure in CIF format:
```
data_PmNiPt
_cell_length_a 7.0928
_cell_length_b 7.0928
_cell_length_c 5.4190
_cell_angle_alpha 90.00
_cell_angle_beta 90.00
_cell_angle_gamma 90.00
_space_group_name_H-M_alt 'P 41 21 2'
_space_group_IT_number 92
loop_
_space_group_symop_operation_xyz
'x,y,z'
'-y+1/2,x+1/2,z+1/4'
'-x,-y,z+1/2'
'y+1/2,-x+1/2,z+3/4'
'x+1/2,-y+1/2,-z+3/4'
'-y,-x,-z+1/2'
'-x+1/2,y+1/2,-z+1/4'
'y,x,-z'
loop_
_atom_site_label
_atom_site_fract_x
_atom_site_fract_y
_atom_site_fract_z
Pm1 0.2191 0.2191 0.0000
Ni1 0.0557 0.0557 0.5000
Pt1 0.1979 0.8021 0.7500
```

=====

The following is a DFT calculation (PBE) of a relaxed Ac4POsBr2 crystal.

The uncorrected formation energy comes out at -1075 meV per atom. The calculation puts the total energy at -5.627 eV per atom. The calculation puts the calculated volume at 272 Å³/f.u.

The structure in CIF format:
```
data_Ac4POsBr2
_cell_length_a 7.8720
_cell_length_b 4.3297
_cell_length_c 8.2964
_cell_angle_alpha 90.00
_cell_angle_beta 105.81
_cell_angle_gamma 90.00
_space_group_name_H-M_alt 'P 1 2/m 1'
_space_group_IT_number 10
loop_
_space_group_symop_operation_xyz
'x,y,z'
'-x,-y,-z'
'-x,y,-z'
'x,-y,z'
loop_
_atom_site_label
_atom_site_fract_x
_atom_site_fract_y
_atom_site_fract_z
Ac1 0.2179 0.0000 0.1979
Ac2 0.2535 0.5000 0.8008
P1 0.5000 0.0000 0.0000
Os1 0.0000 0.5000 0.0000
Br1 0.0000 0.0000 0.5000
Br2 0.5000 0.5000 0.5000
```

=====

Question: Which value of calculated volume does entry 2 give?
Answer: 68 Å³/f.u.